Compound: Pm4Nd2Ho5
Source: Alexandria via LeMat-Bulk
Functional: PBE-GGA
Structure: optimized geometry

Computed properties:
Theoretical density: 7.6 g cm⁻³
ΔE to the lowest computed polymorph: 0 meV per atom
Symmetry: C2/m (12)
E: -4.555 eV per atom
Formation energy from the elements: 0.120 eV/atom
Calculated volume: 370.1 Å³/cell
Magnetization: 0.00 μB per formula unit

a b c (Å): 6.726 6.726 9.278
angles (deg): 104.34 104.34 67.46
Element x y z (fractional)
Pm 0.176 0.176 0.125
Pm 0.182 0.182 0.498
Pm 0.818 0.818 0.502
Pm 0.824 0.824 0.875
Nd 0.356 0.356 0.873
Nd 0.644 0.644 0.127
Ho 0.151 0.714 0.221
Ho 0.286 0.849 0.779
Ho 0.500 0.500 0.500
Ho 0.714 0.151 0.221
Ho 0.849 0.286 0.779